P | {
  "formula": "TbTiGa",
  "functional": "PBE",
  "state": "relaxed",
  "spacegroup": "P4/nmm, No. 129",
  "m_tot_mub_per_cell": 0.001,
  "lattice_angstrom": [[4.120, 0.000, 0.000], [0.000, 4.120, 0.000], [0.000, 0.000, 7.728]],
  "species": ["Ti", "Ti", "Ga", "Ga", "Tb", "Tb"],
  "fractional_positions": [[0.500, 0.500, 0.500], [0.000, 0.000, 0.500], [0.500, 0.000, 0.740], [0.000, 0.500, 0.260], [0.500, 0.000, 0.158], [0.000, 0.500, 0.842]]
}



Q | {
  "formula": "TbTiGa",
  "functional": "PBE",
  "state": "relaxed",
  "spacegroup": "P-6m2, No. 187",
  "m_tot_mub_per_cell": 0.000,
  "lattice_angstrom": [[-1.589, -3.006, -1.616], [-0.085, -2.103, 3.996], [-3.502, 2.544, -1.288]],
  "species": ["Ti", "Tb", "Ga"],
  "fractional_positions": [[0.166, 0.333, 0.667], [0.667, 0.667, 0.333], [0.167, 0.000, 0.000]]
}



Which structure is the least stable? The one labeled Q.



P | {
  "formula": "TbTlGa2",
  "functional": "PBE",
  "state": "relaxed",
  "spacegroup": "P4/mmm, No. 123",
  "m_tot_mub_per_cell": 0.000,
  "lattice_angstrom": [[4.351, 0.000, 0.000], [0.000, 4.528, 0.000], [0.000, 0.000, 4.528]],
  "species": ["Tb", "Ga", "Ga", "Tl"],
  "fractional_positions": [[0.500, 0.500, 0.500], [0.000, 0.000, 0.500], [0.000, 0.500, 0.000], [0.500, 0.000, 0.000]]
}



Q | {
  "formula": "TbTlGa2",
  "functional": "PBE",
  "state": "relaxed",
  "spacegroup": "R-3m, No. 166",
  "m_tot_mub_per_cell": 0.000,
  "lattice_angstrom": [[-2.214, 1.599, -4.126], [1.162, -2.010, -4.369], [-5.028, -4.565, -2.038]],
  "species": ["Ga", "Ga", "Tl", "Tb"],
  "fractional_positions": [[0.857, 0.857, 0.428], [0.143, 0.143, 0.572], [0.000, 0.000, 0.000], [0.500, 0.500, 0.500]]
}



Which structure is the least stable? The one labeled Q.



P | {
  "formula": "Tb4Tl2Ga",
  "functional": "PBE",
  "state": "relaxed",
  "spacegroup": "P-1, No. 2",
  "m_tot_mub_per_cell": 0.002,
  "lattice_angstrom": [[8.311, -0.338, 1.164], [-0.929, 8.306, -1.203], [-2.605, -5.028, 6.266]],
  "species": ["Tl", "Tl", "Tl", "Tl", "Tb", "Tb", "Tb", "Tb", "Tb", "Tb", "Tb", "Tb", "Ga", "Ga"],
  "fractional_positions": [[0.625, 0.375, 0.750], [0.625, 0.375, 0.250], [0.125, 0.376, 0.751], [0.625, 0.875, 0.250], [0.932, 0.700, 0.232], [0.909, 0.663, 0.755], [0.318, 0.049, 0.267], [0.910, 0.154, 0.246], [0.461, 0.696, 0.764], [0.789, 0.055, 0.736], [0.340, 0.596, 0.255], [0.340, 0.087, 0.745], [0.131, 0.127, 0.004], [0.119, 0.623, 0.496]]
}



Q | {
  "formula": "Tb4Tl2Ga",
  "functional": "PBE",
  "state": "relaxed",
  "spacegroup": "R-3m, No. 166",
  "m_tot_mub_per_cell": 0.000,
  "lattice_angstrom": [[4.997, 0.000, 1.561], [2.255, 4.459, 1.561], [-0.092, -0.057, 9.072]],
  "species": ["Tb", "Tb", "Tb", "Tb", "Tl", "Tl", "Ga"],
  "fractional_positions": [[0.626, 0.626, 0.123], [0.123, 0.123, 0.632], [0.877, 0.877, 0.368], [0.374, 0.374, 0.877], [0.245, 0.245, 0.265], [0.755, 0.755, 0.735], [0.000, 0.000, 0.000]]
}



Which structure is the least stable? The one labeled P.



P | {
  "formula": "Tb5Tl2Ga",
  "functional": "PBE",
  "state": "relaxed",
  "spacegroup": "Pbam, No. 55",
  "m_tot_mub_per_cell": 0.000,
  "lattice_angstrom": [[-1.347, 4.116, 2.616], [-5.996, 0.142, -3.312], [-5.206, -7.489, 9.102]],
  "species": ["Ga", "Ga", "Tb", "Tb", "Tb", "Tb", "Tb", "Tb", "Tb", "Tb", "Tb", "Tb", "Tl", "Tl", "Tl", "Tl"],
  "fractional_positions": [[0.000, 0.000, 0.000], [0.000, 0.500, 0.500], [0.000, 0.136, 0.780], [0.000, 0.864, 0.220], [0.500, 0.835, 0.906], [0.000, 0.636, 0.720], [0.000, 0.500, 0.000], [0.500, 0.165, 0.094], [0.500, 0.335, 0.594], [0.000, 0.000, 0.500], [0.500, 0.665, 0.406], [0.000, 0.364, 0.280], [0.500, 0.386, 0.845], [0.500, 0.886, 0.655], [0.500, 0.114, 0.345], [0.500, 0.614, 0.155]]
}



Q | {
  "formula": "Tb5Tl2Ga",
  "functional": "PBE",
  "state": "relaxed",
  "spacegroup": "I4/mcm, No. 140",
  "m_tot_mub_per_cell": 0.001,
  "lattice_angstrom": [[8.012, 0.000, 0.000], [0.000, 8.012, 0.000], [-4.006, -4.006, 7.118]],
  "species": ["Tb", "Tb", "Tb", "Tb", "Tb", "Tb", "Tb", "Tb", "Tb", "Tb", "Tl", "Tl", "Tl", "Tl", "Ga", "Ga"],
  "fractional_positions": [[0.181, 0.009, 0.690], [0.819, 0.991, 0.310], [0.500, 0.500, 0.000], [0.491, 0.319, 0.310], [0.000, 0.000, 0.000], [0.991, 0.491, 0.310], [0.319, 0.819, 0.310], [0.681, 0.181, 0.690], [0.009, 0.509, 0.690], [0.509, 0.681, 0.690], [0.633, 0.133, 0.000], [0.367, 0.867, 0.000], [0.867, 0.633, 0.000], [0.133, 0.367, 0.000], [0.250, 0.250, 0.500], [0.750, 0.750, 0.500]]
}



Which structure is the least stable? The one labeled Q.